Computed, not measured: a relaxed CePr2HoTl4 crystal at the PBE-GGA level of DFT.

a b c (Å): 5.4961 5.4961 9.5742
angles (deg): 73.32 73.32 60.00
Closest atoms and distances in Å follow each position.
Atoms (fractional coordinates):
Tl 0.8760 0.8760 0.3720  1 Ho 3.36, 4 Pr 3.37-3.45, 3 Ce 3.38
Tl 0.6259 0.6259 0.1224  4 Pr 3.32-3.36, 3 Ho 3.36, 1 Ce 3.41
Tl 0.3741 0.3741 0.8776  4 Pr 3.32-3.36, 3 Ho 3.36, 1 Ce 3.41
Tl 0.1240 0.1240 0.6280  1 Ho 3.36, 4 Pr 3.37-3.45, 3 Ce 3.38
Pr 0.7485 0.7485 0.7544  8 Tl 3.32-3.45
Pr 0.2515 0.2515 0.2456  8 Tl 3.32-3.45
Ce 0.5000 0.5000 0.5000  8 Tl 3.38-3.41
Ho 0.0000 0.0000 0.0000  8 Tl 3.36

**Calculated total energy**: -0.295 Ry/atom
**DOS at the Fermi energy**: 13.514 states/eV/cell
**Calculated volume**: 29.54 Å³ per atom

Computed, not measured: a relaxed CePrHoTl crystal at the PBE-GGA level of DFT.

a b c (Å): 5.4848 5.4848 5.4848
angles (deg): 60.00 60.00 60.00
Closest atoms and distances in Å follow each position.
Atoms (fractional coordinates):
Tl 0.2500 0.2500 0.2500  4 Ho 3.36, 4 Pr 3.36
Ce 0.7500 0.7500 0.7500  4 Ho 3.36, 4 Pr 3.36
Ho 0.5000 0.5000 0.5000  4 Ce 3.36, 4 Tl 3.36
Pr 0.0000 0.0000 0.0000  4 Tl 3.36, 4 Ce 3.36

**Calculated total energy**: -0.323 Ry/atom
**DOS at the Fermi energy**: 6.929 states/eV/cell
**Calculated volume**: 29.17 Å³ per atom

Computed, not measured: a relaxed CePrHo2Tl4 crystal at the PBE-GGA level of DFT.

a b c (Å): 5.4448 5.4448 9.4487
angles (deg): 73.25 73.25 60.00
Closest atoms and distances in Å follow each position.
Atoms (fractional coordinates):
Ho 0.7500 0.7500 0.7501  8 Tl 3.33-3.36
Ho 0.2500 0.2500 0.2499  8 Tl 3.33-3.36
Tl 0.3756 0.3756 0.8733  1 Ce 3.33, 4 Ho 3.33-3.36, 3 Pr 3.34
Tl 0.1254 0.1254 0.6238  3 Ce 3.33, 4 Ho 3.33-3.34, 1 Pr 3.35
Tl 0.6244 0.6244 0.1267  1 Ce 3.33, 4 Ho 3.33-3.36, 3 Pr 3.34
Tl 0.8746 0.8746 0.3762  3 Ce 3.33, 4 Ho 3.33-3.34, 1 Pr 3.35
Ce 0.5000 0.5000 0.5000  8 Tl 3.33
Pr 0.0000 0.0000 0.0000  8 Tl 3.34-3.35

**Calculated total energy**: -0.293 Ry/atom
**DOS at the Fermi energy**: 12.231 states/eV/cell
**Calculated volume**: 28.60 Å³ per atom

Look up the calculated total energy of the second one.
-0.323 Ry/atom

Which formula does entry 1 have?
CePr2HoTl4